# 1
# LiLaRu2

An optimized crystal structure of LiLaRu2 (GGA-PBEsol, Alexandria).

The structure belongs to space group F-43m (No. 216); the cell edges are 6.459, 6.459 and 6.459 Å and the angles 90.00°, 90.00° and 90.00°. The distinct sites, in fractional coordinates, are Li at (0.000, 0.000, 0.000), La at (0.250, 0.250, 0.250), Ru at (0.000, 0.000, 0.500) and Ru at (0.250, 0.250, 0.750).

As for the distance to the lowest polymorph of the same formula: 0.000 eV per atom. As for the total energy: -6.6000 eV/atom. As for the formation energy: 0.3145 eV/atom. As for the crystal system: cubic.


# 2
# As5C

An optimized crystal structure of As5C (GGA-PBEsol, Alexandria).

The structure belongs to space group P6/mmm (No. 191); the cell edges are 5.0725, 5.0725 and 5.1513 Å and the angles 90.00°, 90.00° and 120.00°. The distinct sites, in fractional coordinates, are As at (0.0000, 0.5000, 0.0000), As at (0.3333, 0.6667, 0.5000) and C at (0.0000, 0.0000, 0.5000).

As for the distance to the lowest polymorph of the same formula: 0.639 eV per atom. As for the total energy: -4.4216 eV/atom. As for the formation energy: 1.4409 eV/atom. As for the crystal system: hexagonal.


# 3
# TlTeAu2

An optimized crystal structure of TlTeAu2 (GGA-PBEsol, Alexandria).

The structure belongs to space group Amm2 (No. 38); the cell edges are 4.522, 5.667 and 7.485 Å and the angles 90.00°, 90.00° and 90.00°. The distinct sites, in fractional coordinates, are Tl at (0.000, 0.000, 0.000), Te at (0.500, 0.000, 0.332), Au at (0.000, 0.000, 0.547) and Au at (0.500, 0.000, 0.757).

As for the total energy: -3.4919 eV/atom. The calculation puts the uncorrected formation energy at 0.009 eV per atom. As for the crystal system: orthorhombic.


# 4
# LaYNi2

An optimized crystal structure of LaYNi2 (GGA-PBEsol, Alexandria).

The structure belongs to space group P4mm (No. 99); the cell edges are 3.372, 3.372 and 7.356 Å and the angles 90.00°, 90.00° and 90.00°. The distinct sites, in fractional coordinates, are La at (0.000, 0.000, 0.000), Y at (0.500, 0.500, 0.569), Ni at (0.000, 0.000, 0.367) and Ni at (0.500, 0.500, 0.214).

As for the distance to the lowest polymorph of the same formula: 0.296 eV per atom. As for the total energy: -6.1737 eV/atom. As for the formation energy: -0.0528 eV/atom. As for the crystal system: tetragonal.